Entry 1:
Here is a PBEsol-optimized structure of Mg2AlAs from Alexandria via LeMat-Bulk. Energies are from SCAN.

**Excess energy over the best structure of this formula in the dataset**: 22.8 meV per atom
**Formation enthalpy at 0 K**: -0.119 eV per atom

```
data_Mg2AlAs
_chemical_formula_sum 'Mg4 Al2 As2'
_cell_length_a 4.260
_cell_length_b 4.260
_cell_length_c 8.359
_cell_angle_alpha 90.00
_cell_angle_beta 90.00
_cell_angle_gamma 90.00
_symmetry_space_group_name_H-M 'I 4/m m m'
_symmetry_Int_Tables_number 139
_symmetry_space_group_name_Hall '-I 4 2'
loop_
_atom_site_label
_atom_site_type_symbol
_atom_site_fract_x
_atom_site_fract_y
_atom_site_fract_z
Mg1 Mg 0.000 0.500 0.250
Al1 Al 0.000 0.000 0.000
As1 As 0.000 0.000 0.500
```

Entry 2:
Here is a PBEsol-optimized structure of Sc2ZnIr from Alexandria via LeMat-Bulk. Energies are from SCAN.

**Excess energy over the best structure of this formula in the dataset**: 750.5 meV per atom
**Formation enthalpy at 0 K**: -0.146 eV per atom

```
data_Sc2ZnIr
_chemical_formula_sum 'Sc6 Zn3 Ir3'
_cell_length_a 3.0345
_cell_length_b 3.0345
_cell_length_c 27.1010
_cell_angle_alpha 90.00
_cell_angle_beta 90.00
_cell_angle_gamma 120.00
_symmetry_space_group_name_H-M 'R 3 m'
_symmetry_Int_Tables_number 160
_symmetry_space_group_name_Hall 'R 3 -2"'
loop_
_atom_site_label
_atom_site_type_symbol
_atom_site_fract_x
_atom_site_fract_y
_atom_site_fract_z
Sc1 Sc 0.0000 0.0000 0.0000
Sc2 Sc 0.0000 0.0000 0.2311
Zn1 Zn 0.0000 0.0000 0.7506
Ir1 Ir 0.0000 0.0000 0.4895
```

Number 1: theoretical density 3.30 g/cm3, calculated volume 151.7 Å³/cell. Number 2: theoretical density 8.01 g/cm3, calculated volume 216.1 Å³/cell.